1.
First-principles (GGA-PBE) data for a relaxed SrAcLaTm crystal, as listed in the Alexandria database.

Formation energy from the elements, eV per atom: 0.171
SG: No. 216

a = 6.107 Å, b = 6.107 Å, c = 6.107 Å
α = 60.00°, β = 60.00°, γ = 60.00°
Atoms (fractional coordinates):
Ac  0.000  0.000  0.000
Tm  0.750  0.750  0.750
Sr  0.250  0.250  0.250
La  0.500  0.500  0.500


2.
First-principles (GGA-PBE) data for a relaxed Hf2MgSnN crystal, as listed in the Alexandria database.

Raw formation energy, meV per atom: -619
SG: No. 123

a = 4.470 Å, b = 4.470 Å, c = 4.384 Å
α = 90.00°, β = 90.00°, γ = 90.00°
Atoms (fractional coordinates):
Sn  0.500  0.500  0.500
N  0.000  0.000  0.000
Mg  0.000  0.000  0.500
Hf  0.500  0.000  0.000
Hf  0.000  0.500  0.000


What is the formula in the second record?
Hf2MgSnN